(1)
Material: La2YNi
Method: DFT, PBE
State: relaxed

## Properties
Raw total energy ... -45.37 eV per cell
Space group ... Cmcm, No. 63
ΔH_f (0 K) ... -0.146 eV per atom

```
8
Lattice="2.522 -6.016 0.000 2.522 6.016 0.000 0.000 0.000 7.580" Properties=species:S:1:pos:R:3 pbc="T T T"
La 2.522 4.219 4.016
La 2.522 4.219 7.355
La 2.522 -4.219 0.225
La 2.522 -4.219 3.565
Y 2.522 0.386 5.685
Y 2.522 -0.386 1.895
Ni 2.522 2.371 1.895
Ni 2.522 -2.371 5.685
```

(2)
Material: La3YNi
Method: DFT, PBE
State: relaxed

## Properties
Raw total energy ... -26.95 eV per cell
Space group ... Pm-3m, No. 221
ΔH_f (0 K) ... 0.016 eV per atom

```
5
Lattice="5.546 0.000 0.000 0.000 5.546 0.000 0.000 0.000 5.546" Properties=species:S:1:pos:R:3 pbc="T T T"
La 0.000 0.000 2.773
La 0.000 2.773 0.000
La 2.773 0.000 0.000
Y 2.773 2.773 2.773
Ni 0.000 0.000 0.000
```

(3)
Material: La2YNi
Method: DFT, PBE
State: relaxed

## Properties
Raw total energy ... -21.14 eV per cell
Space group ... C2/m, No. 12
ΔH_f (0 K) ... 0.239 eV per atom

```
4
Lattice="3.103 -5.222 0.000 3.103 5.222 0.000 -1.427 0.000 3.332" Properties=species:S:1:pos:R:3 pbc="T T T"
La 1.551 2.611 0.000
La 1.551 -2.611 0.000
Y -0.714 0.000 1.666
Ni 2.389 0.000 1.666
```

(4)
Material: LaY2Ni2
Method: DFT, PBE
State: relaxed

## Properties
Raw total energy ... -29.43 eV per cell
Space group ... I4/mmm, No. 139
ΔH_f (0 K) ... -0.002 eV per atom

```
5
Lattice="-2.500 2.500 5.194 2.500 -2.500 5.194 2.500 2.500 -5.194" Properties=species:S:1:pos:R:3 pbc="T T T"
La 0.000 0.000 0.000
Y 0.000 0.000 3.483
Y 0.000 0.000 6.906
Ni 2.500 0.000 2.597
Ni 0.000 2.500 2.597
```

(5)
Material: La2YNi
Method: DFT, PBE
State: relaxed

## Properties
Raw total energy ... -22.50 eV per cell
Space group ... Cm, No. 8
ΔH_f (0 K) ... -0.100 eV per atom

```
4
Lattice="6.092 -1.819 0.000 6.092 1.819 0.000 -2.892 0.000 5.297" Properties=species:S:1:pos:R:3 pbc="T T T"
La 0.000 0.000 0.000
La 0.268 0.000 3.764
Y 8.960 0.000 1.731
Ni 5.031 0.000 1.925
```

(6)
Material: La2YNi
Method: DFT, PBE
State: relaxed

## Properties
Raw total energy ... -21.38 eV per cell
Space group ... I-4m2, No. 119
ΔH_f (0 K) ... 0.180 eV per atom

```
4
Lattice="-2.251 2.251 5.385 2.251 -2.251 5.385 2.251 2.251 -5.385" Properties=species:S:1:pos:R:3 pbc="T T T"
La 0.000 0.000 0.000
La 0.000 2.251 2.693
Y 0.000 0.000 5.385
Ni 2.251 0.000 2.693
```

(7)
Material: La2YNi
Method: DFT, PBE
State: relaxed

## Properties
Raw total energy ... -22.44 eV per cell
Space group ... Immm, No. 71
ΔH_f (0 K) ... -0.084 eV per atom

```
4
Lattice="-1.834 2.785 5.615 1.834 -2.785 5.615 1.834 2.785 -5.615" Properties=species:S:1:pos:R:3 pbc="T T T"
La 0.000 0.000 2.141
La 0.000 0.000 9.089
Y 0.000 2.785 0.000
Ni 1.834 0.000 0.000
```

(8)
Material: LaY2Ni6
Method: DFT, PBE
State: relaxed

## Properties
Raw total energy ... -55.74 eV per cell
Space group ... P6/mmm, No. 191
ΔH_f (0 K) ... -0.355 eV per atom

```
9
Lattice="7.002 0.000 0.000 -3.501 6.064 0.000 0.000 0.000 3.814" Properties=species:S:1:pos:R:3 pbc="T T T"
La 0.000 0.000 0.000
Y 0.000 4.042 0.000
Y 3.501 2.021 0.000
Ni -1.175 2.036 1.907
Ni -2.326 4.028 1.907
Ni 2.350 0.000 1.907
Ni 1.175 2.036 1.907
Ni 4.651 0.000 1.907
Ni 2.326 4.028 1.907
```

(9)
Material: La2YNi
Method: DFT, PBE
State: relaxed

## Properties
Raw total energy ... -22.45 eV per cell
Space group ... Pm, No. 6
ΔH_f (0 K) ... -0.087 eV per atom

```
4
Lattice="4.821 0.000 0.000 0.000 3.633 0.000 -2.408 0.000 6.667" Properties=species:S:1:pos:R:3 pbc="T T T"
La 0.000 0.000 0.000
La 0.001 1.817 4.760
Y 2.410 1.817 2.240
Ni -0.005 0.000 2.640
```

(10)
Material: LaY2Ni2
Method: DFT, PBE
State: relaxed

## Properties
Raw total energy ... -59.71 eV per cell
Space group ... P4/mbm, No. 127
ΔH_f (0 K) ... -0.087 eV per atom

```
10
Lattice="8.277 0.000 0.000 0.000 8.277 0.000 0.000 0.000 3.245" Properties=species:S:1:pos:R:3 pbc="T T T"
La 0.000 0.000 0.000
La 4.139 4.139 0.000
Y 1.137 3.002 0.000
Y 3.002 7.140 0.000
Y 5.275 1.137 0.000
Y 7.140 5.275 0.000
Ni 1.297 5.436 1.623
Ni 2.842 1.297 1.623
Ni 5.436 6.980 1.623
Ni 6.980 2.842 1.623
```

(11)
Material: LaY2Ni2
Method: DFT, PBE
State: relaxed

## Properties
Raw total energy ... -61.67 eV per cell
Space group ... C2/c, No. 15
ΔH_f (0 K) ... -0.284 eV per atom

```
10
Lattice="5.862 -2.919 0.000 5.862 2.919 0.000 -1.278 0.000 7.101" Properties=species:S:1:pos:R:3 pbc="T T T"
La 4.903 2.401 5.326
La 5.542 -2.401 1.775
Y 3.486 0.608 2.443
Y 2.847 -0.608 5.994
Y 7.598 0.608 1.107
Y 6.959 -0.608 4.658
Ni 1.957 0.677 0.133
Ni 1.318 -0.677 3.684
Ni 9.127 0.677 3.418
Ni 8.488 -0.677 6.968
```

(12)
Material: LaY2Ni2
Method: DFT, PBE
State: relaxed

## Properties
Raw total energy ... -30.30 eV per cell
Space group ... I4/mmm, No. 139
ΔH_f (0 K) ... -0.177 eV per atom

```
5
Lattice="-2.327 2.327 5.558 2.327 -2.327 5.558 2.327 2.327 -5.558" Properties=species:S:1:pos:R:3 pbc="T T T"
La 0.000 0.000 0.000
Y 2.327 0.000 2.779
Y 0.000 2.327 2.779
Ni 0.000 0.000 4.390
Ni 0.000 0.000 6.725
```

(13)
Material: La2Y3Ni2
Method: DFT, PBE
State: relaxed

## Properties
Raw total energy ... -42.42 eV per cell
Space group ... C2/m, No. 12
ΔH_f (0 K) ... -0.229 eV per atom

```
7
Lattice="6.208 -1.831 0.000 6.208 1.831 0.000 -3.995 0.000 8.305" Properties=species:S:1:pos:R:3 pbc="T T T"
La 0.877 0.000 2.570
La 7.544 0.000 5.734
Y 4.473 0.000 0.609
Y 4.211 0.000 4.152
Y 3.949 0.000 7.696
Ni -0.848 0.000 6.138
Ni 9.270 0.000 2.166
```